Entry 1:
Material: EuGa2Hg
Method: DFT, PBE
State: relaxed

Properties
Formation enthalpy at 0 K = -0.3195 eV/atom

a b c (Å): 4.628 4.628 4.318
angles (deg): 90.00 90.00 90.00
Element x y z (fractional)
Eu (0.000, 0.000, 0.000)
Ga (0.000, 0.500, 0.500)
Ga (0.500, 0.000, 0.500)
Hg (0.500, 0.500, 0.000)


Entry 2:
Material: KTi3V
Method: DFT, PBE
State: relaxed

Properties
Formation enthalpy at 0 K = 2.0451 eV/atom

a b c (Å): 4.504 4.504 4.504
angles (deg): 90.00 90.00 90.00
Element x y z (fractional)
K (0.000, 0.000, 0.000)
Ti (0.000, 0.000, 0.500)
Ti (0.000, 0.500, 0.000)
Ti (0.500, 0.000, 0.000)
V (0.500, 0.500, 0.500)


Entry 3:
Material: BC2
Method: DFT, PBE
State: relaxed

Properties
Formation enthalpy at 0 K = 0.3870 eV/atom

a b c (Å): 2.540 2.540 13.691
angles (deg): 90.00 90.00 120.00
Element x y z (fractional)
B (0.333, 0.667, 0.334)
B (0.333, 0.667, 0.458)
B (0.667, 0.333, 0.542)
B (0.667, 0.333, 0.666)
C (0.000, 0.000, 0.171)
C (0.000, 0.000, 0.280)
C (0.000, 0.000, 0.720)
C (0.000, 0.000, 0.829)
C (0.333, 0.667, 0.869)
C (0.333, 0.667, 0.981)
C (0.667, 0.333, 0.019)
C (0.667, 0.333, 0.131)


Entry 4:
Material: Dy2ScPb
Method: DFT, PBE
State: relaxed

Properties
Formation enthalpy at 0 K = -0.2371 eV/atom

a b c (Å): 4.134 4.134 6.492
angles (deg): 90.00 90.00 90.00
Element x y z (fractional)
Dy (0.000, 0.000, 0.245)
Dy (0.000, 0.000, 0.755)
Sc (0.500, 0.500, 0.500)
Pb (0.500, 0.500, 0.000)


Entry 5:
Material: Li3SbCl
Method: DFT, PBE
State: relaxed

Properties
E_form (uncorrected) = -437 meV/atom

a b c (Å): 5.271 5.271 5.271
angles (deg): 90.00 90.00 90.00
Element x y z (fractional)
Li (0.000, 0.000, 0.500)
Li (0.000, 0.500, 0.000)
Li (0.500, 0.000, 0.000)
Sb (0.000, 0.000, 0.000)
Cl (0.500, 0.500, 0.500)


Entry 6:
Material: ZrTlSe2
Method: DFT, PBE
State: relaxed

Properties
E_form (uncorrected) = -1043 meV/atom

a b c (Å): 3.781 3.781 8.476
angles (deg): 90.00 90.00 120.00
Element x y z (fractional)
Zr (0.000, 0.000, 0.000)
Tl (0.000, 0.000, 0.500)
Se (0.333, 0.667, 0.806)
Se (0.667, 0.333, 0.194)